# 1
Material: Cu7Ag2
Method: DFT, PBE-GGA
State: relaxed

Structure (CIF):
```
data_Cu7Ag2
_chemical_formula_sum 'Cu14 Ag4'
_cell_length_a 8.8749
_cell_length_b 2.7152
_cell_length_c 10.7495
_cell_angle_alpha 90.00
_cell_angle_beta 113.59
_cell_angle_gamma 90.00
_space_group_name_H-M_alt 'C 1 2/m 1'
_space_group_IT_number 12
_space_group_name_Hall '-C 2y'
loop_
_atom_site_label
_atom_site_type_symbol
_atom_site_fract_x
_atom_site_fract_y
_atom_site_fract_z
Cu1 Cu 0.0000 0.0000 0.0000
Cu2 Cu 0.1680 0.5000 0.8991
Cu3 Cu 0.1690 0.5000 0.2087
Cu4 Cu 0.1774 0.5000 0.5621
Ag1 Ag 0.0001 0.0000 0.3305
```

Distance to the lowest polymorph of the same formula, meV/atom: 29

# 2
Material: CuAg
Method: DFT, PBE-GGA
State: relaxed

Structure (CIF):
```
data_CuAg
_chemical_formula_sum 'Cu16 Ag16'
_cell_length_a 5.5350
_cell_length_b 7.7531
_cell_length_c 11.0452
_cell_angle_alpha 90.00
_cell_angle_beta 90.00
_cell_angle_gamma 90.00
_space_group_name_H-M_alt 'F m m m'
_space_group_IT_number 69
_space_group_name_Hall '-F 2 2'
loop_
_atom_site_label
_atom_site_type_symbol
_atom_site_fract_x
_atom_site_fract_y
_atom_site_fract_z
Cu1 Cu 0.0000 0.0000 0.1253
Cu2 Cu 0.2500 0.2500 0.2500
Ag1 Ag 0.0000 0.0000 0.3622
Ag2 Ag 0.2500 0.2500 0.0000
```

# 3
Material: Cu5Ag3
Method: DFT, PBE-GGA
State: relaxed

Structure (CIF):
```
data_Cu5Ag3
_chemical_formula_sum 'Cu5 Ag3'
_cell_length_a 2.7767
_cell_length_b 3.5877
_cell_length_c 11.3546
_cell_angle_alpha 90.00
_cell_angle_beta 90.00
_cell_angle_gamma 90.00
_space_group_name_H-M_alt 'P m m 2'
_space_group_IT_number 25
_space_group_name_Hall 'P 2 -2'
loop_
_atom_site_label
_atom_site_type_symbol
_atom_site_fract_x
_atom_site_fract_y
_atom_site_fract_z
Cu1 Cu 0.0000 0.0000 0.0000
Cu2 Cu 0.0000 0.0000 0.2189
Cu3 Cu 0.5000 0.5000 0.1110
Cu4 Cu 0.5000 0.5000 0.6332
Cu5 Cu 0.5000 0.5000 0.8913
Ag1 Ag 0.0000 0.0000 0.5037
Ag2 Ag 0.0000 0.0000 0.7611
Ag3 Ag 0.5000 0.5000 0.3496
```

Distance to the lowest polymorph of the same formula, meV/atom: 33

# 4
Material: CuAg
Method: DFT, PBE-GGA
State: relaxed

Structure (CIF):
```
data_CuAg
_chemical_formula_sum 'Cu10 Ag10'
_cell_length_a 9.1335
_cell_length_b 2.8222
_cell_length_c 11.8096
_cell_angle_alpha 90.00
_cell_angle_beta 99.82
_cell_angle_gamma 90.00
_space_group_name_H-M_alt 'C 1 m 1'
_space_group_IT_number 8
_space_group_name_Hall 'C -2y'
loop_
_atom_site_label
_atom_site_type_symbol
_atom_site_fract_x
_atom_site_fract_y
_atom_site_fract_z
Cu1 Cu 0.0000 0.0000 0.0000
Cu2 Cu 0.0008 0.5000 0.4811
Cu3 Cu 0.1967 0.5000 0.9196
Cu4 Cu 0.3128 0.0000 0.0924
Cu5 Cu 0.4054 0.5000 0.2864
Ag1 Ag 0.1021 0.0000 0.7020
Ag2 Ag 0.1066 0.5000 0.1832
Ag3 Ag 0.2044 0.0000 0.3881
Ag4 Ag 0.3090 0.5000 0.5929
Ag5 Ag 0.3961 0.0000 0.8157
```

# 5
Material: CuAg
Method: DFT, PBE-GGA
State: relaxed

Structure (CIF):
```
data_CuAg
_chemical_formula_sum 'Cu8 Ag8'
_cell_length_a 2.8055
_cell_length_b 3.6656
_cell_length_c 23.1440
_cell_angle_alpha 90.00
_cell_angle_beta 90.00
_cell_angle_gamma 90.00
_space_group_name_H-M_alt 'P m m n'
_space_group_IT_number 59
loop_
_space_group_symop_operation_xyz
'x,y,z'
'-x,-y,-z'
'-x+1/2,-y+1/2,z'
'x+1/2,y+1/2,-z'
'x+1/2,-y,-z'
'-x+1/2,y,z'
'-x,y+1/2,-z'
'x,-y+1/2,z'
loop_
_atom_site_label
_atom_site_type_symbol
_atom_site_fract_x
_atom_site_fract_y
_atom_site_fract_z
Cu1 Cu 0.2500 0.2500 0.0270
Cu2 Cu 0.2500 0.2500 0.1348
Cu3 Cu 0.2500 0.2500 0.8116
Cu4 Cu 0.2500 0.2500 0.9190
Ag1 Ag 0.2500 0.2500 0.2504
Ag2 Ag 0.2500 0.2500 0.3934
Ag3 Ag 0.2500 0.2500 0.5355
Ag4 Ag 0.2500 0.2500 0.6779
```

# 6
Material: CuAg2
Method: DFT, PBE-GGA
State: relaxed

Structure (CIF):
```
data_CuAg2
_chemical_formula_sum 'Cu6 Ag12'
_cell_length_a 14.4610
_cell_length_b 2.8939
_cell_length_c 8.1357
_cell_angle_alpha 90.00
_cell_angle_beta 122.19
_cell_angle_gamma 90.00
_space_group_name_H-M_alt 'C 1 m 1'
_space_group_IT_number 8
_space_group_name_Hall 'C -2y'
loop_
_atom_site_label
_atom_site_type_symbol
_atom_site_fract_x
_atom_site_fract_y
_atom_site_fract_z
Cu1 Cu 0.0000 0.0000 0.0000
Cu2 Cu 0.0474 0.5000 0.2936
Cu3 Cu 0.3474 0.0000 0.9953
Ag1 Ag 0.1085 0.0000 0.6274
Ag2 Ag 0.1710 0.5000 0.9807
Ag3 Ag 0.2144 0.0000 0.3209
Ag4 Ag 0.2864 0.5000 0.6763
Ag5 Ag 0.3894 0.5000 0.3079
Ag6 Ag 0.4499 0.0000 0.6668
```

Distance to the lowest polymorph of the same formula, meV/atom: 44

# 7
Material: Cu4Ag3
Method: DFT, PBE-GGA
State: relaxed

Structure (CIF):
```
data_Cu4Ag3
_chemical_formula_sum 'Cu8 Ag6'
_cell_length_a 2.8108
_cell_length_b 2.8108
_cell_length_c 25.5645
_cell_angle_alpha 90.00
_cell_angle_beta 90.00
_cell_angle_gamma 90.00
_space_group_name_H-M_alt 'I 4/m m m'
_space_group_IT_number 139
_space_group_name_Hall '-I 4 2'
loop_
_atom_site_label
_atom_site_type_symbol
_atom_site_fract_x
_atom_site_fract_y
_atom_site_fract_z
Cu1 Cu 0.0000 0.0000 0.1602
Cu2 Cu 0.0000 0.0000 0.2799
Ag1 Ag 0.0000 0.0000 0.0000
Ag2 Ag 0.0000 0.0000 0.4142
```

Distance to the lowest polymorph of the same formula, meV/atom: 0

# 8
Material: CuAg
Method: DFT, PBE-GGA
State: relaxed

Structure (CIF):
```
data_CuAg
_chemical_formula_sum 'Cu10 Ag10'
_cell_length_a 3.9074
_cell_length_b 3.9381
_cell_length_c 19.4134
_cell_angle_alpha 90.00
_cell_angle_beta 90.00
_cell_angle_gamma 90.00
_space_group_name_H-M_alt 'A m m 2'
_space_group_IT_number 38
_space_group_name_Hall 'A 2 -2'
loop_
_atom_site_label
_atom_site_type_symbol
_atom_site_fract_x
_atom_site_fract_y
_atom_site_fract_z
Cu1 Cu 0.0000 0.0000 0.0000
Cu2 Cu 0.0000 0.0000 0.1794
Cu3 Cu 0.0000 0.0000 0.5890
Cu4 Cu 0.0000 0.0000 0.7805
Cu5 Cu 0.5000 0.0000 0.0891
Ag1 Ag 0.0000 0.0000 0.3895
Ag2 Ag 0.5000 0.0000 0.2819
Ag3 Ag 0.5000 0.0000 0.4967
Ag4 Ag 0.5000 0.0000 0.6811
Ag5 Ag 0.5000 0.0000 0.8892
```

Number 1: ΔE_f 0.68 eV per formula unit. Number 2: ΔE_f 0.20 eV per formula unit. Number 3: ΔE_f 0.64 eV per formula unit. Number 4: ΔE_f 0.19 eV per formula unit. Number 5: ΔE_f 0.13 eV per formula unit. Number 6: ΔE_f 0.22 eV per formula unit. Number 7: ΔE_f 0.34 eV per formula unit. Number 8: ΔE_f 0.18 eV per formula unit.